## AgHgI2 (GGA-PBE)

Data for a geometry-optimized AgHgI2 structure.

## Properties
Magnetization, μB/cell: 0.00
Energy relative to the elements, uncorrected, meV per atom: -86
Crystal system: trigonal
D(E_F), states/eV/atom: 0.634
Energy above the lowest structure with this stoichiometry, meV per atom: 149.8
Space group: R3m, No. 160

abc: 8.2907 8.2907 8.2907
angles: 30.34 30.34 30.34
With the nearest neighbours (Å) after each atom.
Fractional coordinates of all 4 atoms:
Ag: 0.0000 0.0000 0.0000  6 I 3.01-3.06
Hg: 0.8312 0.8312 0.8312  6 I 3.35-3.37
I: 0.4040 0.4040 0.4040  3 Ag 3.01, 3 Hg 3.35
I: 0.5929 0.5929 0.5929  3 Ag 3.06, 3 Hg 3.37